Record 1
CoPBr2 | Alexandria | PBE-GGA | relaxed; space group = Imm2, No. 44; crystal system = orthorhombic; total DFT energy (no corrections) = -3.960 eV per atom
1.0
-1.7365 1.7512 8.5728
1.7365 -1.7512 8.5728
1.7365 1.7512 -8.5728
Co P Br
1 1 2
direct
0.0000 0.0000 0.0000
0.5668 0.0668 0.5000
0.4026 0.9026 0.5000
0.6768 0.6768 0.0000

***

Record 2
La6TlNi2 | Alexandria | PBE-GGA | relaxed; space group = Immm, No. 71; crystal system = orthorhombic; formation enthalpy at 0 K = -0.255 eV/atom
1.0
-4.8056 5.2369 5.3673
4.8056 -5.2369 5.3673
4.8056 5.2369 -5.3673
La Tl Ni
12 2 4
direct
0.0181 0.2238 0.7943
0.1810 0.2982 0.4792
0.1810 0.7018 0.8828
0.3244 0.0135 0.6891
0.3244 0.6352 0.3109
0.4295 0.2238 0.2057
0.5705 0.7762 0.7943
0.6756 0.3648 0.6891
0.6756 0.9865 0.3109
0.8190 0.2982 0.1172
0.8190 0.7018 0.5208
0.9819 0.7762 0.2057
0.0000 0.0000 0.0000
0.5000 0.5000 0.0000
0.1215 0.6215 0.5000
0.3613 0.0000 0.3613
0.6387 0.0000 0.6387
0.8785 0.3785 0.5000